## 1
# LiFeBAu (PBE-GGA, relaxed)
# * magnetization: 0.395 μB per atom
data_LiFeBAu
_cell_length_a 5.5733
_cell_length_b 5.5733
_cell_length_c 5.5733
_cell_angle_alpha 90.00
_cell_angle_beta 90.00
_cell_angle_gamma 90.00
_space_group_name_H-M_alt 'F -4 3 m'
_space_group_IT_number 216
_space_group_name_Hall 'F -4 2 3'
loop_
_atom_site_label
_atom_site_type_symbol
_atom_site_fract_x
_atom_site_fract_y
_atom_site_fract_z
Li1 Li 0.0000 0.0000 0.0000
Fe1 Fe 0.2500 0.2500 0.7500
B1 B 0.0000 0.0000 0.5000
Au1 Au 0.2500 0.2500 0.2500

=====

## 2
# LiFeBAu (PBE-GGA, relaxed)
# * magnetization: 0.648 μB per atom
data_LiFeBAu
_cell_length_a 5.8074
_cell_length_b 5.8074
_cell_length_c 5.8074
_cell_angle_alpha 90.00
_cell_angle_beta 90.00
_cell_angle_gamma 90.00
_space_group_name_H-M_alt 'F -4 3 m'
_space_group_IT_number 216
_space_group_name_Hall 'F -4 2 3'
loop_
_atom_site_label
_atom_site_type_symbol
_atom_site_fract_x
_atom_site_fract_y
_atom_site_fract_z
Li1 Li 0.0000 0.0000 0.0000
Fe1 Fe 0.0000 0.0000 0.5000
B1 B 0.2500 0.2500 0.2500
Au1 Au 0.2500 0.2500 0.7500

=====

Which of them is the least stable? Correct choice: 2.

=====

## 1
# FeBMoAu (PBE-GGA, relaxed)
# * magnetization: 0.324 μB per atom
data_FeBMoAu
_cell_length_a 5.9617
_cell_length_b 5.9617
_cell_length_c 5.9617
_cell_angle_alpha 90.00
_cell_angle_beta 90.00
_cell_angle_gamma 90.00
_space_group_name_H-M_alt 'F -4 3 m'
_space_group_IT_number 216
_space_group_name_Hall 'F -4 2 3'
loop_
_atom_site_label
_atom_site_type_symbol
_atom_site_fract_x
_atom_site_fract_y
_atom_site_fract_z
Fe1 Fe 0.0000 0.0000 0.0000
B1 B 0.2500 0.2500 0.2500
Mo1 Mo 0.0000 0.0000 0.5000
Au1 Au 0.2500 0.2500 0.7500

=====

## 2
# FeBMoAu (PBE-GGA, relaxed)
# * magnetization: 0.415 μB per atom
data_FeBMoAu
_cell_length_a 5.9003
_cell_length_b 5.9003
_cell_length_c 5.9003
_cell_angle_alpha 90.00
_cell_angle_beta 90.00
_cell_angle_gamma 90.00
_space_group_name_H-M_alt 'F -4 3 m'
_space_group_IT_number 216
_space_group_name_Hall 'F -4 2 3'
loop_
_atom_site_label
_atom_site_type_symbol
_atom_site_fract_x
_atom_site_fract_y
_atom_site_fract_z
Fe1 Fe 0.0000 0.0000 0.0000
B1 B 0.0000 0.0000 0.5000
Mo1 Mo 0.2500 0.2500 0.2500
Au1 Au 0.2500 0.2500 0.7500

=====

Which of them is the least stable? Correct choice: 1.

=====

## 1
# NbFeBAu (PBE-GGA, relaxed)
# * magnetization: 0.478 μB per atom
data_NbFeBAu
_cell_length_a 6.0651
_cell_length_b 6.0651
_cell_length_c 6.0651
_cell_angle_alpha 90.00
_cell_angle_beta 90.00
_cell_angle_gamma 90.00
_space_group_name_H-M_alt 'F -4 3 m'
_space_group_IT_number 216
_space_group_name_Hall 'F -4 2 3'
loop_
_atom_site_label
_atom_site_type_symbol
_atom_site_fract_x
_atom_site_fract_y
_atom_site_fract_z
Nb1 Nb 0.0000 0.0000 0.0000
Fe1 Fe 0.0000 0.0000 0.5000
B1 B 0.2500 0.2500 0.2500
Au1 Au 0.2500 0.2500 0.7500

=====

## 2
# NbFeBAu (PBE-GGA, relaxed)
# * magnetization: 0.393 μB per atom
data_NbFeBAu
_cell_length_a 6.0737
_cell_length_b 6.0737
_cell_length_c 6.0737
_cell_angle_alpha 90.00
_cell_angle_beta 90.00
_cell_angle_gamma 90.00
_space_group_name_H-M_alt 'F -4 3 m'
_space_group_IT_number 216
_space_group_name_Hall 'F -4 2 3'
loop_
_atom_site_label
_atom_site_type_symbol
_atom_site_fract_x
_atom_site_fract_y
_atom_site_fract_z
Nb1 Nb 0.0000 0.0000 0.0000
Fe1 Fe 0.2500 0.2500 0.7500
B1 B 0.0000 0.0000 0.5000
Au1 Au 0.2500 0.2500 0.2500

=====

Which of them is the least stable? Correct choice: 2.

=====

## 1
# TaFeBAu (PBE-GGA, relaxed)
# * magnetization: 0.400 μB per atom
data_TaFeBAu
_cell_length_a 6.0654
_cell_length_b 6.0654
_cell_length_c 6.0654
_cell_angle_alpha 90.00
_cell_angle_beta 90.00
_cell_angle_gamma 90.00
_space_group_name_H-M_alt 'F -4 3 m'
_space_group_IT_number 216
_space_group_name_Hall 'F -4 2 3'
loop_
_atom_site_label
_atom_site_type_symbol
_atom_site_fract_x
_atom_site_fract_y
_atom_site_fract_z
Ta1 Ta 0.0000 0.0000 0.0000
Fe1 Fe 0.2500 0.2500 0.7500
B1 B 0.0000 0.0000 0.5000
Au1 Au 0.2500 0.2500 0.2500

=====

## 2
# TaFeBAu (PBE-GGA, relaxed)
# * magnetization: 0.477 μB per atom
data_TaFeBAu
_cell_length_a 6.0526
_cell_length_b 6.0526
_cell_length_c 6.0526
_cell_angle_alpha 90.00
_cell_angle_beta 90.00
_cell_angle_gamma 90.00
_space_group_name_H-M_alt 'F -4 3 m'
_space_group_IT_number 216
_space_group_name_Hall 'F -4 2 3'
loop_
_atom_site_label
_atom_site_type_symbol
_atom_site_fract_x
_atom_site_fract_y
_atom_site_fract_z
Ta1 Ta 0.0000 0.0000 0.0000
Fe1 Fe 0.0000 0.0000 0.5000
B1 B 0.2500 0.2500 0.2500
Au1 Au 0.2500 0.2500 0.7500

=====

Which of them is the least stable? Correct choice: 1.